Record 1
# LiPmPd4

A geometry-optimized LiPmPd4 structure (PBE, Alexandria).

Summary:
The calculation puts the polymorph energy (0 for the lowest one) at 0.000 eV per atom. For the total magnetic moment, the calculation gives 0.00 μB/atom. The value obtained for the mass density is 8.733 g/cm³. For the density of states at the Fermi level, the calculation gives 3.24 states/eV/cell. The space-group type is No. 216. For the electronic total energy, the calculation gives -5.1838 eV/atom. The formation energy is -3.67 eV/f.u.

a b c (Å): 5.375 5.375 5.375
angles (deg): 60.00 60.00 60.00
Element x y z (fractional)
Li (0.000, 0.000, 0.000)
Pd (0.625, 0.625, 0.124)
Pd (0.625, 0.124, 0.625)
Pd (0.625, 0.625, 0.625)
Pd (0.124, 0.625, 0.625)
Pm (0.250, 0.250, 0.250)



Record 2
# Sm3TcO6

A geometry-optimized Sm3TcO6 structure (PBE, Alexandria).

Summary:
For the total magnetic moment, the calculation gives 0.20 μB/atom. The value obtained for the mass density is 7.485 g/cm³. The space-group type is No. 148. For the electronic total energy, the calculation gives -8.2614 eV/atom. The calculation puts the uncorrected formation energy at -2834.2 meV/atom.

a b c (Å): 6.664 6.664 6.664
angles (deg): 98.06 98.06 98.06
Site moments in Bohr magnetons follow the coordinates.
Element x y z (fractional)
Sm (0.397, 0.887, 0.714)  0.01
Sm (0.887, 0.714, 0.397)  0.01
Sm (0.286, 0.603, 0.113)  0.01
Sm (0.714, 0.397, 0.887)  0.01
Sm (0.113, 0.286, 0.603)  0.01
Sm (0.603, 0.113, 0.286)  0.01
Tc (0.000, 0.000, 0.000)  2.36
Tc (0.500, 0.500, 0.500)  0.79
O (0.302, 0.950, 0.062)  0.05
O (0.050, 0.938, 0.698)  0.05
O (0.563, 0.803, 0.422)  0.02
O (0.938, 0.698, 0.050)  0.05
O (0.422, 0.563, 0.803)  0.02
O (0.197, 0.578, 0.437)  0.02
O (0.803, 0.422, 0.563)  0.02
O (0.578, 0.437, 0.197)  0.02
O (0.062, 0.302, 0.950)  0.05
O (0.437, 0.197, 0.578)  0.02
O (0.950, 0.062, 0.302)  0.05
O (0.698, 0.050, 0.938)  0.05



Record 3
# MgSeF2

A geometry-optimized MgSeF2 structure (PBE, Alexandria).

Summary:
The calculation puts the polymorph energy (0 for the lowest one) at 0.368 eV per atom. For the total magnetic moment, the calculation gives 0.00 μB/atom. The value obtained for the mass density is 3.073 g/cm³. For the density of states at the Fermi level, the calculation gives 10.52 states/eV/cell. The space-group type is No. 122. For the electronic total energy, the calculation gives -4.2135 eV/atom. The calculation puts the uncorrected formation energy at -2008.0 meV/atom.

a b c (Å): 6.000 6.000 5.998
angles (deg): 59.99 59.99 90.00
Element x y z (fractional)
Mg (0.500, 0.500, 0.000)
Mg (0.250, 0.750, 0.500)
Se (0.000, 0.000, 0.000)
Se (0.750, 0.250, 0.500)
F (0.416, 0.125, 0.250)
F (0.334, 0.625, 0.250)
F (0.375, 0.584, 0.750)
F (0.875, 0.666, 0.750)



Record 4
# Sr2Ge3IrPt4

A geometry-optimized Sr2Ge3IrPt4 structure (PBE, Alexandria).

Summary:
For the total magnetic moment, the calculation gives 0.00 μB/atom. The value obtained for the mass density is 11.255 g/cm³. For the density of states at the Fermi level, the calculation gives 6.37 states/eV/cell. The space-group type is No. 115. For the electronic total energy, the calculation gives -5.6551 eV/atom. The formation energy is -6.31 eV/f.u.

a b c (Å): 4.444 4.444 10.203
angles (deg): 90.00 90.00 90.00
Element x y z (fractional)
Sr (0.500, 0.000, 0.252)
Sr (0.000, 0.500, 0.748)
Ge (0.000, 0.000, 0.500)
Ge (0.500, 0.000, 0.875)
Ge (0.000, 0.500, 0.125)
Ir (0.500, 0.500, 0.500)
Pt (0.500, 0.500, 0.000)
Pt (0.000, 0.000, 0.000)
Pt (0.500, 0.000, 0.631)
Pt (0.000, 0.500, 0.369)



Record 5
# Ba8AsRh3I4

A geometry-optimized Ba8AsRh3I4 structure (PBE, Alexandria).

Summary:
For the total magnetic moment, the calculation gives 0.00 μB/atom. The value obtained for the mass density is 5.145 g/cm³. The space-group type is No. 166. For the electronic total energy, the calculation gives -3.9851 eV/atom. The calculation puts the uncorrected formation energy at -967.2 meV/atom.

a b c (Å): 9.375 10.022 9.377
angles (deg): 117.88 119.99 90.00
Element x y z (fractional)
Ba (0.236, 0.696, 0.959)
Ba (0.236, 0.696, 0.472)
Ba (0.267, 0.301, 0.534)
Ba (0.723, 0.696, 0.959)
Ba (0.277, 0.304, 0.041)
Ba (0.733, 0.699, 0.466)
Ba (0.764, 0.304, 0.528)
Ba (0.764, 0.304, 0.041)
As (0.000, 0.500, 0.000)
Rh (0.500, 0.500, 0.000)
Rh (0.500, 0.500, 0.500)
Rh (0.000, 0.500, 0.500)
I (0.500, 0.000, 0.000)
I (0.500, 0.000, 0.500)
I (0.000, 0.000, 0.000)
I (0.000, 0.000, 0.500)



Record 6
# PuAgI5

A geometry-optimized PuAgI5 structure (PBE, Alexandria).

Summary:
For the total magnetic moment, the calculation gives 0.57 μB/atom. The value obtained for the mass density is 4.922 g/cm³. For the density of states at the Fermi level, the calculation gives 22.63 states/eV/cell. The space-group type is No. 15. For the electronic total energy, the calculation gives -4.2079 eV/atom. The calculation puts the uncorrected formation energy at -645.9 meV/atom.

a b c (Å): 8.087 8.087 11.615
angles (deg): 108.40 110.11 93.03
Site moments in Bohr magnetons follow the coordinates.
Element x y z (fractional)
Pu (0.000, 0.000, 0.000)  4.82
Pu (0.000, 0.500, 0.500)  4.82
Ag (0.617, 0.867, 0.250)  -0.05
Ag (0.383, 0.133, 0.750)  -0.05
I (0.233, 0.813, 0.160)  -0.13
I (0.199, 0.837, 0.521)  -0.12
I (0.347, 0.427, 0.660)  -0.13
I (0.069, 0.319, 0.250)  -0.11
I (0.317, 0.178, 0.979)  -0.12
I (0.683, 0.822, 0.021)  -0.12
I (0.931, 0.681, 0.750)  -0.11
I (0.653, 0.573, 0.340)  -0.13
I (0.801, 0.163, 0.479)  -0.12
I (0.767, 0.187, 0.840)  -0.13